Here is a relaxed structure of Tm4AuC from the Alexandria database. Energies are from PBE.

Values from the calculation:
Total magnetization   0.0 μB per cell
Final energy   -0.400 Ry per atom
Fermi-level density of states   9.44 states/eV/cell

abc: 6.212 7.077 7.870
angles: 110.34 106.17 104.98
Fractional coordinates of all 12 atoms:
Tm 0.288 0.940 0.598
Tm 0.012 0.813 0.092
Tm 0.190 0.342 0.402
Tm 0.420 0.721 0.908
Tm 0.712 0.060 0.402
Tm 0.810 0.658 0.598
Tm 0.988 0.187 0.908
Tm 0.580 0.279 0.092
Au 0.373 0.623 0.246
Au 0.627 0.377 0.754
C 0.813 0.063 0.126
C 0.187 0.937 0.874